CaGdDyMg | PBE | relaxed

abc: 7.9068 7.9068 7.9068
angles: 90.00 90.00 90.00
With the nearest neighbours (Å) after each atom.
Fractional positions:
1 Ca 0.0000 0.0000 0.0000  4 Dy 3.42, 4 Gd 3.42
2 Ca 0.0000 0.5000 0.5000  4 Dy 3.42, 4 Gd 3.42
3 Ca 0.5000 0.0000 0.5000  4 Dy 3.42, 4 Gd 3.42
4 Ca 0.5000 0.5000 0.0000  4 Dy 3.42, 4 Gd 3.42
5 Gd 0.2500 0.2500 0.2500  4 Mg 3.42, 4 Ca 3.42
6 Gd 0.2500 0.7500 0.7500  4 Mg 3.42, 4 Ca 3.42
7 Gd 0.7500 0.2500 0.7500  4 Mg 3.42, 4 Ca 3.42
8 Gd 0.7500 0.7500 0.2500  4 Mg 3.42, 4 Ca 3.42
9 Dy 0.2500 0.2500 0.7500  4 Mg 3.42, 4 Ca 3.42
10 Dy 0.2500 0.7500 0.2500  4 Mg 3.42, 4 Ca 3.42
11 Dy 0.7500 0.2500 0.2500  4 Mg 3.42, 4 Ca 3.42
12 Dy 0.7500 0.7500 0.7500  4 Mg 3.42, 4 Ca 3.42
13 Mg 0.0000 0.0000 0.5000  4 Gd 3.42, 4 Dy 3.42
14 Mg 0.0000 0.5000 0.0000  4 Gd 3.42, 4 Dy 3.42
15 Mg 0.5000 0.0000 0.0000  4 Gd 3.42, 4 Dy 3.42
16 Mg 0.5000 0.5000 0.5000  4 Gd 3.42, 4 Dy 3.42

Calculated values
The crystal system is cubic. As for the energy of formation: 0.07 eV/atom. Its space group is F-43m (216).

=====

NaZn2Rh2 | PBE | relaxed

abc: 4.4581 4.4581 9.3474
angles: 90.00 90.00 90.00
With the nearest neighbours (Å) after each atom.
Fractional positions:
1 Na 0.0000 0.0000 0.0000  8 Zn 3.23, 10 Rh 3.38-3.46
2 Na 0.5000 0.5000 0.5000  8 Zn 3.23, 10 Rh 3.38-3.46
3 Zn 0.0000 0.5000 0.2500  4 Rh 2.49
4 Zn 0.0000 0.5000 0.7500  4 Rh 2.49
5 Zn 0.5000 0.0000 0.2500  4 Rh 2.49
6 Zn 0.5000 0.0000 0.7500  4 Rh 2.49
7 Rh 0.0000 0.0000 0.3697  1 Rh 2.44, 4 Zn 2.49
8 Rh 0.0000 0.0000 0.6303  1 Rh 2.44, 4 Zn 2.49
9 Rh 0.5000 0.5000 0.1303  1 Rh 2.44, 4 Zn 2.49
10 Rh 0.5000 0.5000 0.8697  1 Rh 2.44, 4 Zn 2.49

Calculated values
The crystal system is tetragonal. As for the energy of formation: 0.04 eV/atom. Its space group is I4/mmm (139). Its energy above the most stable polymorph in this dataset is 0.2115 eV per atom.

=====

Th2PaZn | PBE | relaxed

abc: 3.5346 3.5346 8.6249
angles: 90.00 90.00 90.00
With the nearest neighbours (Å) after each atom.
Fractional positions:
1 Th 0.0000 0.0000 0.2265  4 Zn 3.17, 4 Pa 3.44, 4 Th 3.53
2 Th 0.0000 0.0000 0.7735  4 Zn 3.17, 4 Pa 3.44, 4 Th 3.53
3 Pa 0.5000 0.5000 0.5000  8 Th 3.44, 4 Pa 3.53
4 Zn 0.5000 0.5000 0.0000  8 Th 3.17, 4 Zn 3.53

Calculated values
The crystal system is tetragonal. As for the energy of formation: 0.03 eV/atom. Its space group is P4/mmm (123). Its energy above the most stable polymorph in this dataset is 0.0000 eV per atom.

=====

Cs2IN4 | PBE | relaxed

abc: 10.5852 10.5852 10.5852
angles: 139.60 139.60 58.46
With the nearest neighbours (Å) after each atom.
Fractional positions:
1 Cs 0.0000 0.0000 0.0000  6 N 3.50-3.84, 2 Cs 3.66
2 Cs 0.0000 0.0000 0.5000  6 N 3.50-3.84, 2 Cs 3.66
3 Cs 0.0000 0.5000 0.0000  6 N 3.50-3.84, 2 Cs 3.66
4 Cs 0.5000 0.0000 0.5000  6 N 3.50-3.84, 2 Cs 3.66
5 I 0.3750 0.6250 0.7500  12 N 3.71-3.82
6 I 0.6250 0.3750 0.2500  12 N 3.71-3.82
7 N 0.1766 0.3492 0.6726  1 N 1.13
8 N 0.1766 0.5041 0.8274  1 N 1.13
9 N 0.3492 0.1766 0.1726  1 N 1.13
10 N 0.4959 0.8234 0.6726  1 N 1.13
11 N 0.5041 0.1766 0.3274  1 N 1.13
12 N 0.6508 0.8234 0.8274  1 N 1.13
13 N 0.8234 0.4959 0.1726  1 N 1.13
14 N 0.8234 0.6508 0.3274  1 N 1.13

Calculated values
The crystal system is tetragonal. Its energy relative to the elements, uncorrected is -22 kJ/mol of atoms. Its space group is I4_1/amd (141).

=====

Number 1: total moment 7.3 μB/f.u., calculated total energy -5.496 eV/atom, V 494.32 Å³/cell. Number 2: total moment 0.0 μB/f.u., calculated total energy -3.676 eV/atom, V 185.77 Å³/cell. Number 3: total moment 0.0 μB/f.u., calculated total energy -6.368 eV/atom, V 107.76 Å³/cell. Number 4: total moment 1.0 μB/f.u., calculated total energy -5.453 eV/atom, V 493.64 Å³/cell.